Below is crystalline Ce2TeH at its relaxed geometry, with properties calculated at the PBE level.

The structure in CIF format:
```
data_Ce2TeH
_cell_length_a 3.931
_cell_length_b 3.931
_cell_length_c 7.531
_cell_angle_alpha 74.87
_cell_angle_beta 74.87
_cell_angle_gamma 60.00
_space_group_name_H-M_alt 'P 1'
_space_group_IT_number 1
loop_
_space_group_symop_operation_xyz
'x,y,z'
loop_
_atom_site_label
_atom_site_type_symbol
_atom_site_fract_x
_atom_site_fract_y
_atom_site_fract_z
H1 H 0.000 0.000 0.000
Te1 Te 0.500 0.500 0.500
Ce1 Ce 0.267 0.267 0.198
Ce2 Ce 0.733 0.733 0.802
```

Density: 7.1 g cm⁻³
Distance to the lowest polymorph of the same formula: 0.014 eV/atom

Below is crystalline Ce2TeH4 at its relaxed geometry, with properties calculated at the PBE level.

The structure in CIF format:
```
data_Ce2TeH4
_cell_length_a 3.987
_cell_length_b 3.987
_cell_length_c 8.106
_cell_angle_alpha 75.76
_cell_angle_beta 75.76
_cell_angle_gamma 60.00
_space_group_name_H-M_alt 'P 1'
_space_group_IT_number 1
loop_
_space_group_symop_operation_xyz
'x,y,z'
loop_
_atom_site_label
_atom_site_type_symbol
_atom_site_fract_x
_atom_site_fract_y
_atom_site_fract_z
Ce1 Ce 0.237 0.237 0.288
Ce2 Ce 0.763 0.763 0.712
Te1 Te 0.000 0.000 0.000
H1 H 0.434 0.434 0.697
H2 H 0.136 0.136 0.593
H3 H 0.566 0.566 0.303
H4 H 0.864 0.864 0.407
```

Density: 6.4 g cm⁻³
Raw total energy: -4.82 eV per atom

Below is crystalline Ce3Te3H at its relaxed geometry, with properties calculated at the PBE level.

The structure in CIF format:
```
data_Ce3Te3H
_cell_length_a 7.570
_cell_length_b 7.570
_cell_length_c 7.656
_cell_angle_alpha 96.09
_cell_angle_beta 96.09
_cell_angle_gamma 109.90
_space_group_name_H-M_alt 'P 1'
_space_group_IT_number 1
loop_
_space_group_symop_operation_xyz
'x,y,z'
loop_
_atom_site_label
_atom_site_type_symbol
_atom_site_fract_x
_atom_site_fract_y
_atom_site_fract_z
Ce1 Ce 0.903 0.903 0.167
Ce2 Ce 0.852 0.547 0.705
Ce3 Ce 0.547 0.852 0.705
Ce4 Ce 0.148 0.453 0.295
Ce5 Ce 0.453 0.148 0.295
Ce6 Ce 0.097 0.097 0.833
Te1 Te 0.604 0.604 0.332
Te2 Te 0.159 0.841 0.500
Te3 Te 0.841 0.159 0.500
Te4 Te 0.231 0.769 0.000
Te5 Te 0.769 0.231 0.000
Te6 Te 0.396 0.396 0.668
H1 H 0.823 0.823 0.851
H2 H 0.177 0.177 0.149
```

Density: 6.6 g cm⁻³
Raw total energy: -5.44 eV per atom